# 1
# TiPbS2N, optimized geometry, DFT PBE-GGA
# Uncorrected formation energy in meV per atom: -428
data_TiPbS2N
_cell_length_a 4.941
_cell_length_b 4.941
_cell_length_c 3.886
_cell_angle_alpha 90.00
_cell_angle_beta 90.00
_cell_angle_gamma 90.00
_space_group_name_H-M_alt 'P 4/m m m'
_space_group_IT_number 123
_space_group_name_Hall '-P 4 2'
loop_
_atom_site_label
_atom_site_fract_x
_atom_site_fract_y
_atom_site_fract_z
Ti1 0.000 0.000 0.000
Pb1 0.500 0.500 0.500
S1 0.000 0.500 0.000
N1 0.000 0.000 0.500

***

# 2
# LiScRh, optimized geometry, DFT PBE-GGA
# ΔH_f (0 K) in meV/atom: -267
data_LiScRh
_cell_length_a 6.119
_cell_length_b 6.119
_cell_length_c 6.119
_cell_angle_alpha 90.00
_cell_angle_beta 90.00
_cell_angle_gamma 90.00
_space_group_name_H-M_alt 'F -4 3 m'
_space_group_IT_number 216
_space_group_name_Hall 'F -4 2 3'
loop_
_atom_site_label
_atom_site_fract_x
_atom_site_fract_y
_atom_site_fract_z
Li1 0.000 0.000 0.000
Sc1 0.000 0.000 0.500
Rh1 0.250 0.250 0.750

***

# 3
# La5CoPb, optimized geometry, DFT PBE-GGA
# ΔH_f (0 K) in meV/atom: -205
data_La5CoPb
_cell_length_a 5.003
_cell_length_b 5.003
_cell_length_c 8.423
_cell_angle_alpha 90.00
_cell_angle_beta 90.00
_cell_angle_gamma 90.00
_space_group_name_H-M_alt 'P 4/m m m'
_space_group_IT_number 123
_space_group_name_Hall '-P 4 2'
loop_
_atom_site_label
_atom_site_fract_x
_atom_site_fract_y
_atom_site_fract_z
La1 0.000 0.000 0.000
La2 0.000 0.500 0.306
Co1 0.000 0.000 0.500
Pb1 0.500 0.500 0.000

***

# 4
# Ba2Rh5Pb4, optimized geometry, DFT PBE-GGA
# ΔH_f (0 K) in meV/atom: -250
data_Ba2Rh5Pb4
_cell_length_a 6.235
_cell_length_b 10.854
_cell_length_c 16.172
_cell_angle_alpha 90.00
_cell_angle_beta 90.00
_cell_angle_gamma 90.00
_space_group_name_H-M_alt 'F m m m'
_space_group_IT_number 69
_space_group_name_Hall '-F 2 2'
loop_
_atom_site_label
_atom_site_fract_x
_atom_site_fract_y
_atom_site_fract_z
Ba1 0.000 0.000 0.124
Rh1 0.000 0.000 0.500
Rh2 0.250 0.250 0.000
Rh3 0.250 0.250 0.250
Pb1 0.000 0.162 0.372

***

# 5
# ThInPbAu, optimized geometry, DFT PBE-GGA
# ΔH_f (0 K) in meV/atom: -222
data_ThInPbAu
_cell_length_a 7.487
_cell_length_b 7.487
_cell_length_c 7.487
_cell_angle_alpha 90.00
_cell_angle_beta 90.00
_cell_angle_gamma 90.00
_space_group_name_H-M_alt 'F -4 3 m'
_space_group_IT_number 216
_space_group_name_Hall 'F -4 2 3'
loop_
_atom_site_label
_atom_site_fract_x
_atom_site_fract_y
_atom_site_fract_z
Th1 0.000 0.000 0.000
In1 0.250 0.250 0.750
Pb1 0.000 0.000 0.500
Au1 0.250 0.250 0.250

***

# 6
# ScPaNbC3, optimized geometry, DFT PBE-GGA
# ΔH_f (0 K) in meV/atom: -432
data_ScPaNbC3
_cell_length_a 5.784
_cell_length_b 3.375
_cell_length_c 8.639
_cell_angle_alpha 90.00
_cell_angle_beta 102.69
_cell_angle_gamma 90.00
_space_group_name_H-M_alt 'P 1 21/m 1'
_space_group_IT_number 11
_space_group_name_Hall '-P 2yb'
loop_
_atom_site_label
_atom_site_fract_x
_atom_site_fract_y
_atom_site_fract_z
Sc1 0.231 0.250 0.450
Pa1 0.349 0.750 0.803
Nb1 0.134 0.750 0.138
C1 0.056 0.250 0.670
C2 0.251 0.250 0.013
C3 0.441 0.750 0.326

***

# 7
# CeSiPd3, optimized geometry, DFT PBE-GGA
# Uncorrected formation energy in meV per atom: -498
data_CeSiPd3
_cell_length_a 5.248
_cell_length_b 5.248
_cell_length_c 15.613
_cell_angle_alpha 90.00
_cell_angle_beta 90.00
_cell_angle_gamma 90.00
_space_group_name_H-M_alt 'I -4 m 2'
_space_group_IT_number 119
_space_group_name_Hall 'I -4 -2'
loop_
_atom_site_label
_atom_site_fract_x
_atom_site_fract_y
_atom_site_fract_z
Ce1 0.000 0.000 0.151
Si1 0.000 0.000 0.500
Si2 0.000 0.500 0.750
Pd1 0.000 0.245 0.627
Pd2 0.000 0.500 0.039

***

# 8
# InHgHN2, optimized geometry, DFT PBE-GGA
# Uncorrected energy in eV/atom: -2.90
data_InHgHN2
_cell_length_a 4.262
_cell_length_b 4.262
_cell_length_c 3.463
_cell_angle_alpha 90.00
_cell_angle_beta 90.00
_cell_angle_gamma 90.00
_space_group_name_H-M_alt 'P 4/m m m'
_space_group_IT_number 123
_space_group_name_Hall '-P 4 2'
loop_
_atom_site_label
_atom_site_fract_x
_atom_site_fract_y
_atom_site_fract_z
In1 0.000 0.000 0.000
Hg1 0.500 0.500 0.000
H1 0.500 0.500 0.500
N1 0.000 0.500 0.500

***

# 9
# SrGaNi2, optimized geometry, DFT PBE-GGA
# ΔH_f (0 K) in meV/atom: -100
data_SrGaNi2
_cell_length_a 4.721
_cell_length_b 4.721
_cell_length_c 16.067
_cell_angle_alpha 90.00
_cell_angle_beta 90.00
_cell_angle_gamma 90.00
_space_group_name_H-M_alt 'I -4 2 d'
_space_group_IT_number 122
_space_group_name_Hall 'I -4 2bw'
loop_
_atom_site_label
_atom_site_fract_x
_atom_site_fract_y
_atom_site_fract_z
Sr1 0.000 0.000 0.000
Ga1 0.000 0.000 0.500
Ni1 0.022 0.250 0.625

***

# 10
# Ca2Hf2Co, optimized geometry, DFT PBE-GGA
# ΔH_f (0 K) in meV/atom: 756
data_Ca2Hf2Co
_cell_length_a 3.847
_cell_length_b 3.847
_cell_length_c 19.014
_cell_angle_alpha 90.00
_cell_angle_beta 90.00
_cell_angle_gamma 90.00
_space_group_name_H-M_alt 'I 4/m m m'
_space_group_IT_number 139
_space_group_name_Hall '-I 4 2'
loop_
_atom_site_label
_atom_site_fract_x
_atom_site_fract_y
_atom_site_fract_z
Ca1 0.000 0.000 0.087
Hf1 0.000 0.500 0.250
Co1 0.000 0.000 0.500

***

# 11
# ZrNbGa2, optimized geometry, DFT PBE-GGA
# ΔH_f (0 K) in meV/atom: -226
data_ZrNbGa2
_cell_length_a 4.3371
_cell_length_b 4.3371
_cell_length_c 13.7691
_cell_angle_alpha 90.00
_cell_angle_beta 90.00
_cell_angle_gamma 120.00
_space_group_name_H-M_alt 'R -3 m'
_space_group_IT_number 166
_space_group_name_Hall '-R 3 2"'
loop_
_atom_site_label
_atom_site_fract_x
_atom_site_fract_y
_atom_site_fract_z
Zr1 0.0000 0.0000 0.0000
Nb1 0.0000 0.0000 0.5000
Ga1 0.0000 0.0000 0.2430

***

# 12
# CsEuTe2, optimized geometry, DFT PBE-GGA
# Uncorrected formation energy in meV per atom: -1155
data_CsEuTe2
_cell_length_a 4.080
_cell_length_b 4.080
_cell_length_c 9.043
_cell_angle_alpha 90.00
_cell_angle_beta 90.00
_cell_angle_gamma 90.00
_space_group_name_H-M_alt 'P 4/m m m'
_space_group_IT_number 123
_space_group_name_Hall '-P 4 2'
loop_
_atom_site_label
_atom_site_fract_x
_atom_site_fract_y
_atom_site_fract_z
Cs1 0.000 0.000 0.000
Eu1 0.000 0.000 0.500
Te1 0.500 0.500 0.298

***

| no. | Fermi-level density of states (states/eV per cell) |
| --- | --- |
| 1 | 2.06 |
| 2 | 12.74 |
| 3 | 9.19 |
| 4 | 24.98 |
| 5 | 8.53 |
| 6 | 4.69 |
| 7 | 28.02 |
| 8 | 2.27 |
| 9 | 8.10 |
| 10 | 10.69 |
| 11 | 7.49 |
| 12 | 4.15 |